First-principles (PBE) data for a relaxed structure of CuMoSe2, as listed in the Alexandria database.

## Properties
As for the uncorrected formation energy: 165 kJ/mol of formula units. The total energy comes out at -40.379 eV for the cell shown. The polymorph energy (0 for the lowest one) is 0.538 eV/atom. As for the space group: I-4m2 (119). Its magnetization is 3.8 μB/cell.

Cell and atoms, written as CIF:
```
data_CuMoSe2
_cell_length_a 3.730
_cell_length_b 3.730
_cell_length_c 9.788
_cell_angle_alpha 90.00
_cell_angle_beta 90.00
_cell_angle_gamma 90.00
_space_group_name_H-M_alt 'P 1'
_space_group_IT_number 1
_space_group_name_Hall 'P 1'
loop_
_atom_site_label
_atom_site_type_symbol
_atom_site_fract_x
_atom_site_fract_y
_atom_site_fract_z
_atom_site_occupancy
Cu1 Cu 0.000 0.000 0.000 1
Cu2 Cu 0.500 0.500 0.500 1
Mo1 Mo 0.000 0.500 0.750 1
Mo2 Mo 0.500 0.000 0.250 1
Se1 Se 0.000 0.000 0.500 1
Se2 Se 0.000 0.500 0.250 1
Se3 Se 0.500 0.000 0.750 1
Se4 Se 0.500 0.500 0.000 1
```